Computed, not measured: a relaxed structure of Ac3CuGe6Pd2 at the PBE-GGA level of DFT. Values from VASP.

Structure (Quantum ESPRESSO input):
```
&SYSTEM
  ibrav = 0, nat = 12, ntyp = 4
/
ATOMIC_SPECIES
Ac 227.00 Ac.upf
Cu 63.55 Cu.upf
Ge 72.64 Ge.upf
Pd 106.42 Pd.upf
ATOMIC_POSITIONS angstrom
Ac -1.985 -6.180 -1.159
Ac -3.931 -2.452 0.338
Ac 0.000 0.000 0.000
Cu -0.563 -3.861 1.569
Ge -3.073 -3.358 -2.583
Ge -1.063 -2.975 -0.921
Ge -0.624 -4.008 -3.306
Ge -4.853 -5.657 0.101
Ge -2.843 -5.275 1.762
Ge -5.292 -4.624 2.485
Pd -4.617 -7.159 2.252
Pd -1.299 -1.473 -3.072
CELL_PARAMETERS angstrom
-5.837 1.551 1.724
1.047 -2.462 -5.683
-1.125 -7.721 3.138
```

Results
The total energy comes out at -4.921 eV/atom. As for the crystal system: trigonal.



Computed, not measured: a relaxed structure of BeAlCd2 at the PBE-GGA level of DFT. Values from VASP.

Structure (Quantum ESPRESSO input):
```
&SYSTEM
  ibrav = 0, nat = 4, ntyp = 3
/
ATOMIC_SPECIES
Be 9.01 Be.upf
Al 26.98 Al.upf
Cd 112.41 Cd.upf
ATOMIC_POSITIONS angstrom
Be 1.554 -5.837 2.372
Al 2.334 -3.814 0.951
Cd 4.095 -6.691 1.669
Cd -0.475 -2.521 1.545
CELL_PARAMETERS angstrom
-0.825 0.186 2.772
-2.352 -1.587 -0.592
4.274 -6.985 1.742
```

Results
The total energy comes out at -2.073 eV/atom. As for the crystal system: tetragonal.



Computed, not measured: a relaxed structure of Cs2SnI2Cl2 at the PBE-GGA level of DFT. Values from VASP.

Structure (Quantum ESPRESSO input):
```
&SYSTEM
  ibrav = 0, nat = 7, ntyp = 4
/
ATOMIC_SPECIES
Cs 132.91 Cs.upf
Sn 118.71 Sn.upf
I 126.90 I.upf
Cl 35.45 Cl.upf
ATOMIC_POSITIONS angstrom
Cs 0.000 0.000 7.152
Cs 2.837 2.837 2.546
Sn 0.000 0.000 0.000
I 0.000 0.000 3.199
I 2.837 2.837 6.499
Cl 0.000 2.837 0.000
Cl 2.837 0.000 0.000
CELL_PARAMETERS angstrom
5.675 0.000 0.000
0.000 5.675 0.000
-2.837 -2.837 9.698
```

Results
Its uncorrected formation energy is -1.38 eV/atom. As for the crystal system: tetragonal.



Computed, not measured: a relaxed structure of Ac2YV at the PBE-GGA level of DFT. Values from VASP.

Structure (Quantum ESPRESSO input):
```
&SYSTEM
  ibrav = 0, nat = 4, ntyp = 3
/
ATOMIC_SPECIES
Y 88.91 Y.upf
Ac 227.00 Ac.upf
V 50.94 V.upf
ATOMIC_POSITIONS angstrom
Y 4.044 -5.541 1.204
Ac 1.869 -2.582 0.327
Ac 6.219 -8.500 2.081
V 0.000 0.000 0.000
CELL_PARAMETERS angstrom
-0.200 -3.156 -2.052
2.862 -0.966 -2.255
5.426 -6.961 6.716
```

Results
The total energy comes out at -5.463 eV/atom. As for the crystal system: trigonal.



| no. | magnetic moment (μB per cell) |
| --- | --- |
| 1 | 0.00 |
| 2 | 0.00 |
| 3 | 0.00 |
| 4 | 2.03 |